1.
# BaLuNO

A geometry-optimized BaLuNO structure (PBE-GGA, OQMD).

Values from the calculation:
magnetic moment	0.000	μB/atom
polymorph energy (0 for the lowest one)	0.072	eV per atom
ρ	6.8	g cm⁻³
symmetry	Pmc2_1, No. 26

Unit cell a=3.822 b=6.117 c=7.167 alpha=90.00 beta=90.00 gamma=90.00
Positions (direct):
Ba 0.000 0.485 0.331
Ba 0.000 0.985 0.669
Lu 0.500 0.998 0.153
Lu 0.500 0.498 0.847
N 0.000 0.928 0.295
N 0.000 0.428 0.705
O 0.500 0.343 0.115
O 0.500 0.843 0.885


2.
# BaNaLuSe3

A geometry-optimized BaNaLuSe3 structure (PBE-GGA, OQMD).

Values from the calculation:
magnetic moment	0.001	μB/atom
polymorph energy (0 for the lowest one)	0.000	eV per atom
ρ	5.6	g cm⁻³
symmetry	Pnma, No. 62

Unit cell a=14.512 b=4.325 c=10.804 alpha=90.00 beta=90.00 gamma=90.00
Positions (direct):
Ba 0.737 0.750 0.041
Ba 0.237 0.750 0.459
Ba 0.763 0.250 0.541
Ba 0.263 0.250 0.959
Lu 0.018 0.750 0.161
Lu 0.518 0.750 0.339
Lu 0.482 0.250 0.661
Lu 0.982 0.250 0.839
Na 0.503 0.250 0.092
Na 0.003 0.250 0.408
Na 0.997 0.750 0.592
Na 0.497 0.750 0.908
Se 0.905 0.250 0.073
Se 0.390 0.750 0.133
Se 0.139 0.250 0.234
Se 0.639 0.250 0.266
Se 0.890 0.750 0.367
Se 0.405 0.250 0.427
Se 0.595 0.750 0.573
Se 0.110 0.250 0.633
Se 0.361 0.750 0.734
Se 0.861 0.750 0.766
Se 0.610 0.250 0.867
Se 0.095 0.750 0.927


3.
# BaNaLuSe3

A geometry-optimized BaNaLuSe3 structure (PBE-GGA, OQMD).

Values from the calculation:
magnetic moment	0.001	μB/atom
polymorph energy (0 for the lowest one)	0.009	eV per atom
ρ	5.7	g cm⁻³
symmetry	Cmcm, No. 63

Unit cell a=7.438 b=7.438 c=10.743 alpha=90.00 beta=90.00 gamma=145.86
Positions (direct):
Ba 0.753 0.247 0.250
Ba 0.247 0.753 0.750
Lu 0.500 0.500 0.000
Lu 0.500 0.500 0.500
Na 0.029 0.971 0.250
Na 0.971 0.029 0.750
Se 0.132 0.868 0.042
Se 0.423 0.577 0.250
Se 0.132 0.868 0.458
Se 0.868 0.132 0.542
Se 0.577 0.423 0.750
Se 0.868 0.132 0.958


4.
# BaNaLuSe3

A geometry-optimized BaNaLuSe3 structure (PBE-GGA, OQMD).

Values from the calculation:
magnetic moment	0.000	μB/atom
polymorph energy (0 for the lowest one)	0.001	eV per atom
ρ	5.5	g cm⁻³
symmetry	P2_1/m, No. 11

Unit cell a=8.635 b=4.329 c=9.600 alpha=90.00 beta=107.27 gamma=90.00
Positions (direct):
Ba 0.723 0.250 0.250
Ba 0.277 0.750 0.750
Lu 0.176 0.250 0.152
Lu 0.824 0.750 0.848
Na 0.409 0.750 0.412
Na 0.591 0.250 0.588
Se 0.389 0.750 0.125
Se 0.957 0.750 0.151
Se 0.238 0.250 0.464
Se 0.762 0.750 0.536
Se 0.043 0.250 0.849
Se 0.611 0.250 0.875